VASP calculation (GGA+U) on Ba3ErMn2O9 after structural relaxation.

Polymorph energy (0 for the lowest one) = 53 meV/atom

Lattice parameters (Å, degrees): 5.7975 5.7975 7.1440 90.00 90.00 120.00
Last column: nearest neighbours and their distance in Å.
Space group P-3m1 (No. 164)
Symmetry-distinct sites (fractional):
Ba1 0.0000 0.0000 0.0000  12 O 2.88-2.90
Ba2 0.3333 0.6667 0.6776  12 O 2.85-3.01
Er1 0.0000 0.0000 0.5000  6 O 2.21
Mn1 0.3333 0.6667 0.1664  6 O 1.90-2.05
O1 0.0000 0.5000 0.0000  2 Mn 2.05
O2 0.1778 0.3556 0.3168  1 Mn 1.90